## PuNpGa4 (PBE)

Data for a relaxed PuNpGa4 crystal.

abc: 4.679 4.679 6.218
angles: 90.00 90.00 120.00
Each line ends with the local moment (μB).
Sites, in units of the cell vectors:
Pu: 0.000 0.000 0.500  5.27
Np: 0.000 0.000 0.000  3.84
Ga: 0.333 0.667 0.244  -0.03
Ga: 0.333 0.667 0.756  -0.03
Ga: 0.667 0.333 0.244  -0.03
Ga: 0.667 0.333 0.756  -0.03

Output
E_tot   -40.9 eV/cell
Space group   P6/mmm
E above lowest polymorph   31 meV/atom
Size of the total moment   9.34 μB per formula unit
Formation enthalpy at 0 K   -0.2501 eV/atom
DOS at the Fermi energy   2.500 states/eV/atom